## P
A geometry-optimized KLi2Cl structure, computed with PBE.

The structure in CIF format:
```
data_KLi2Cl
_cell_length_a 3.690
_cell_length_b 3.690
_cell_length_c 7.960
_cell_angle_alpha 90.00
_cell_angle_beta 90.00
_cell_angle_gamma 100.68
_symmetry_space_group_name_H-M 'P 1'
_symmetry_Int_Tables_number 1
loop_
_symmetry_equiv_pos_as_xyz
'x,y,z'
loop_
_atom_site_label
_atom_site_type_symbol
_atom_site_fract_x
_atom_site_fract_y
_atom_site_fract_z
K1 K 0.000 0.000 0.000
Li1 Li 0.000 0.000 0.439
Li2 Li 0.500 0.500 0.655
Cl1 Cl 0.500 0.500 0.305
```

Magnetic moment: 0.000 μB per atom
Crystal system: orthorhombic


## Q
A geometry-optimized KLi2Cl structure, computed with PBE.

The structure in CIF format:
```
data_KLi2Cl
_cell_length_a 4.380
_cell_length_b 4.380
_cell_length_c 6.425
_cell_angle_alpha 90.00
_cell_angle_beta 90.00
_cell_angle_gamma 90.00
_symmetry_space_group_name_H-M 'P 1'
_symmetry_Int_Tables_number 1
loop_
_symmetry_equiv_pos_as_xyz
'x,y,z'
loop_
_atom_site_label
_atom_site_type_symbol
_atom_site_fract_x
_atom_site_fract_y
_atom_site_fract_z
K1 K 0.000 0.000 0.000
Li1 Li 0.500 0.500 0.260
Li2 Li 0.500 0.500 0.740
Cl1 Cl 0.000 0.000 0.500
```

Magnetic moment: 0.000 μB per atom
Crystal system: tetragonal


The computed energies, referenced to the most stable structure and given in meV per atom, are P 0; Q 257.